Record 1
TlIrRhC2 | GGA-PBEsol | relaxed

Cell lengths 3.835, 3.835, 5.540 Å; angles 90.00, 90.00, 90.00 degrees
Positions (direct):
Tl1 0.000 0.000 0.500
C1 0.500 0.000 0.000
Rh1 0.000 0.000 0.000
Ir1 0.500 0.500 0.500
C2 0.000 0.500 0.000

DOS at the Fermi energy (states/eV per atom): 0.495
Space group: P4/mmm
Energy relative to the elements (eV/atom): 1.9348

Record 2
Ir2RhWC | GGA-PBEsol | relaxed

Cell lengths 4.606, 4.677, 4.677 Å; angles 90.00, 90.00, 90.00 degrees
Positions (direct):
W1 0.000 0.000 0.000
C1 0.500 0.500 0.500
Ir1 0.000 0.000 0.500
Rh1 0.500 0.000 0.000
Ir2 0.000 0.500 0.000

DOS at the Fermi energy (states/eV per atom): 1.085
Space group: P4/mmm
Energy relative to the elements (eV/atom): 3.0389

Record 3
IrRu3C | GGA-PBEsol | relaxed

Cell lengths 3.961, 3.961, 3.961 Å; angles 90.00, 90.00, 90.00 degrees
Positions (direct):
Ru1 0.500 0.000 0.000
C1 0.000 0.000 0.000
Ir1 0.500 0.500 0.500
Ru2 0.000 0.500 0.000
Ru3 0.000 0.000 0.500

DOS at the Fermi energy (states/eV per atom): 0.879
Space group: Pm-3m
Energy relative to the elements (eV/atom): 0.3494

Record 4
Ir2CS | GGA-PBEsol | relaxed

Cell lengths 4.064, 4.064, 4.064 Å; angles 60.00, 60.00, 60.00 degrees
Positions (direct):
C1 0.000 0.000 0.000
Ir1 0.750 0.750 0.750
Ir2 0.250 0.250 0.250
S1 0.500 0.500 0.500

DOS at the Fermi energy (states/eV per atom): 0.911
Space group: Fm-3m
VASP energy (eV/atom): -7.1875

Record 5
Sb2TeIrC | GGA-PBEsol | relaxed

Cell lengths 4.631, 4.488, 4.488 Å; angles 90.00, 90.00, 90.00 degrees
Positions (direct):
Te1 0.500 0.000 0.000
Sb1 0.000 0.500 0.000
Sb2 0.000 0.000 0.500
C1 0.000 0.000 0.000
Ir1 0.500 0.500 0.500

DOS at the Fermi energy (states/eV per atom): 0.347
Space group: P4/mmm
VASP energy (eV/atom): -5.2879

Record 6
ScIrC2 | GGA-PBEsol | relaxed

Cell lengths 4.666, 4.666, 6.020 Å; angles 112.80, 112.80, 90.00 degrees
Positions (direct):
Sc1 0.500 0.500 0.000
Ir1 0.250 0.750 0.500
C1 0.625 0.679 0.750
C2 0.321 0.875 0.250
Ir2 0.000 0.000 0.000
C3 0.929 0.375 0.250
C4 0.125 0.071 0.750
Sc2 0.750 0.250 0.500

DOS at the Fermi energy (states/eV per atom): 0.482
Space group: I-42d
Energy relative to the elements (eV/atom): 0.2686

Record 7
ScIr3C | GGA-PBEsol | relaxed

Cell lengths 4.095, 4.095, 4.095 Å; angles 90.00, 90.00, 90.00 degrees
Positions (direct):
C1 0.000 0.000 0.000
Ir1 0.000 0.500 0.000
Ir2 0.500 0.000 0.000
Sc1 0.500 0.500 0.500
Ir3 0.000 0.000 0.500

DOS at the Fermi energy (states/eV per atom): 0.424
Space group: Pm-3m
Energy relative to the elements (eV/atom): -0.2363

Record 8
Ir2CSe | GGA-PBEsol | relaxed

Cell lengths 4.939, 4.939, 6.241 Å; angles 113.31, 113.31, 90.00 degrees
Positions (direct):
Ir1 0.455 0.875 0.250
C1 0.500 0.500 0.000
C2 0.750 0.250 0.500
Ir2 0.125 0.205 0.750
Ir3 0.625 0.545 0.750
Se1 0.000 0.000 0.000
Se2 0.250 0.750 0.500
Ir4 0.795 0.375 0.250

DOS at the Fermi energy (states/eV per atom): 0.627
Space group: I-42d
VASP energy (eV/atom): -7.8809

Record 9
SiIr2C2 | GGA-PBEsol | relaxed

Cell lengths 2.663, 6.526, 6.526 Å; angles 90.00, 90.00, 90.00 degrees
Positions (direct):
Ir1 0.000 0.837 0.663
C1 0.500 0.164 0.664
Si1 0.000 0.000 0.000
Ir2 0.000 0.337 0.837
C2 0.500 0.836 0.336
C3 0.500 0.336 0.164
Ir3 0.000 0.663 0.163
Ir4 0.000 0.163 0.337
C4 0.500 0.664 0.836
Si2 0.000 0.500 0.500

DOS at the Fermi energy (states/eV per atom): 0.519
Space group: P4/mbm
VASP energy (eV/atom): -7.6548

Record 10
Sr2IrC | GGA-PBEsol | relaxed

Cell lengths 3.862, 7.774, 7.774 Å; angles 86.46, 75.62, 75.62 degrees
Positions (direct):
Sr1 0.325 0.800 0.300
C1 0.500 0.000 0.000
C2 0.250 0.500 0.500
Sr2 0.875 0.700 0.800
Sr3 0.375 0.300 0.200
Sr4 0.425 0.200 0.700
Ir1 0.750 0.500 0.500
Ir2 0.000 0.000 0.000

DOS at the Fermi energy (states/eV per atom): 0.672
Space group: I-42d
Energy relative to the elements (eV/atom): -0.1322

Record 11
TaIrC2 | GGA-PBEsol | relaxed

Cell lengths 4.555, 4.555, 5.929 Å; angles 112.59, 112.59, 90.00 degrees
Positions (direct):
C1 0.356 0.875 0.250
Ir1 0.250 0.750 0.500
Ta1 0.750 0.250 0.500
C2 0.625 0.644 0.750
C3 0.125 0.106 0.750
Ir2 0.000 0.000 0.000
C4 0.894 0.375 0.250
Ta2 0.500 0.500 0.000

DOS at the Fermi energy (states/eV per atom): 0.465
Space group: I-42d
Energy relative to the elements (eV/atom): 0.4038

Record 12
Tc3IrC | GGA-PBEsol | relaxed

Cell lengths 4.622, 4.622, 4.622 Å; angles 90.00, 90.00, 90.00 degrees
Positions (direct):
Tc1 0.500 0.000 0.000
Tc2 0.000 0.500 0.000
Tc3 0.000 0.000 0.500
Ir1 0.000 0.000 0.000
C1 0.500 0.500 0.500

DOS at the Fermi energy (states/eV per atom): 1.247
Space group: Pm-3m
Energy relative to the elements (eV/atom): 3.2100